This record from Alexandria describes a geometry-optimized CaIn3Pd3 structure. The functional is PBE.

a = 7.3383 Å, b = 7.3383 Å, c = 7.3383 Å
α = 90.00°, β = 90.00°, γ = 90.00°
With the nearest neighbours (Å) after each atom.
Positions (direct):
Ca 0.0000 0.0000 0.0000  12 In 4.10, 12 Pd 4.10
Ca 0.5000 0.5000 0.5000  12 In 4.10, 12 Pd 4.10
In 0.0000 0.2500 0.5000  4 Pd 2.59
In 0.0000 0.7500 0.5000  4 Pd 2.59
In 0.2500 0.5000 0.0000  4 Pd 2.59
In 0.5000 0.0000 0.2500  4 Pd 2.59
In 0.5000 0.0000 0.7500  4 Pd 2.59
In 0.7500 0.5000 0.0000  4 Pd 2.59
Pd 0.0000 0.5000 0.2500  4 In 2.59
Pd 0.0000 0.5000 0.7500  4 In 2.59
Pd 0.2500 0.0000 0.5000  4 In 2.59
Pd 0.5000 0.2500 0.0000  4 In 2.59
Pd 0.5000 0.7500 0.0000  4 In 2.59
Pd 0.7500 0.0000 0.5000  4 In 2.59

Calculated values
Formation energy: -0.1323 eV/atom
Energy above the most stable polymorph in this dataset: 375.0 meV/atom



This record from Alexandria describes a geometry-optimized MnSnMoP structure. The functional is PBE.

a = 3.1798 Å, b = 4.4982 Å, c = 5.6229 Å
α = 95.99°, β = 90.01°, γ = 110.62°
With the nearest neighbours (Å) after each atom.
Positions (direct):
Mn 0.0000 0.0000 0.0000  2 P 2.36-2.37
Sn 0.6907 0.3843 0.7385  2 Mo 2.78-2.88, 3 Mn 2.80-2.83, 1 P 3.10
Mo 0.7312 0.4588 0.2539  3 P 2.39-2.45
P 0.4432 0.8854 0.2900  2 Mn 2.36-2.37, 3 Mo 2.39-2.45

Calculated values
Formation energy: 0.0685 eV/atom
Energy above the most stable polymorph in this dataset: 279.5 meV/atom



This record from Alexandria describes a geometry-optimized Sr3Tb2UP6 structure. The functional is PBE.

a = 7.1507 Å, b = 7.1507 Å, c = 7.3496 Å
α = 99.35°, β = 99.35°, γ = 120.00°
With the nearest neighbours (Å) after each atom.
Positions (direct):
Sr 0.0000 0.0000 0.0000  6 P 3.05-3.21
Sr 0.3298 0.6702 0.0000  6 P 3.05-3.16
Sr 0.6702 0.3298 0.0000  6 P 3.05-3.16
Tb 0.1662 0.8338 0.5000  6 P 2.87
Tb 0.8338 0.1662 0.5000  6 P 2.87
U 0.5000 0.5000 0.5000  6 P 2.70-2.71
P 0.1124 0.4285 0.2845  1 U 2.71, 2 Tb 2.87
P 0.2572 0.2572 0.7148  1 U 2.70, 2 Tb 2.87
P 0.4285 0.1124 0.2845  1 U 2.71, 2 Tb 2.87
P 0.5715 0.8876 0.7155  1 U 2.71, 2 Tb 2.87
P 0.7428 0.7428 0.2852  1 U 2.70, 2 Tb 2.87
P 0.8876 0.5715 0.7155  1 U 2.71, 2 Tb 2.87

Calculated values
Formation energy: -1.2444 eV/atom



This record from Alexandria describes a geometry-optimized Ba2FeAg structure. The functional is PBE.

a = 4.7321 Å, b = 4.7321 Å, c = 8.4026 Å
α = 105.87°, β = 105.87°, γ = 59.09°
With the nearest neighbours (Å) after each atom.
Positions (direct):
Ba 0.2452 0.2452 0.2331  3 Fe 3.29-3.30, 3 Ag 3.45-3.46
Ba 0.7548 0.7548 0.7669  3 Fe 3.29-3.30, 3 Ag 3.45-3.46
Fe 0.5000 0.5000 0.0000  6 Ba 3.29-3.30
Ag 0.0000 0.0000 0.5000  6 Ba 3.45-3.46

Calculated values
Formation energy: 0.4767 eV/atom
Energy above the most stable polymorph in this dataset: 252.6 meV/atom



This record from Alexandria describes a geometry-optimized ZnHg3O4 structure. The functional is PBE.

a = 5.1292 Å, b = 5.1292 Å, c = 5.1292 Å
α = 90.00°, β = 90.00°, γ = 90.00°
With the nearest neighbours (Å) after each atom.
Positions (direct):
Zn 0.0000 0.0000 0.0000  4 O 2.00
Hg 0.0000 0.5000 0.5000  4 O 2.30
Hg 0.5000 0.0000 0.5000  4 O 2.30
Hg 0.5000 0.5000 0.0000  4 O 2.30
O 0.2249 0.2249 0.2249  1 Zn 2.00
O 0.2249 0.7751 0.7751  1 Zn 2.00
O 0.7751 0.2249 0.7751  1 Zn 2.00
O 0.7751 0.7751 0.2249  1 Zn 2.00

Calculated values
ΔE_f (raw): -0.48 eV per atom



This record from Alexandria describes a geometry-optimized BaTaBe2 structure. The functional is PBE.

a = 3.1340 Å, b = 3.8456 Å, c = 6.8331 Å
α = 90.00°, β = 99.48°, γ = 90.00°
With the nearest neighbours (Å) after each atom.
Positions (direct):
Ba 0.0000 0.0000 0.0000  2 Ba 3.13, 5 Be 3.21-3.50
Ta 0.2227 0.5000 0.5747  6 Be 2.38-2.59
Be 0.6203 0.5000 0.3061  2 Be 2.21, 2 Ta 2.38-2.41
Be 0.6799 0.0000 0.4675  2 Be 2.21

Calculated values
Formation energy: 0.5558 eV/atom
Energy above the most stable polymorph in this dataset: 113.7 meV/atom



This record from Alexandria describes a geometry-optimized Na4CaTh3Te8 structure. The functional is PBE.

a = 9.2352 Å, b = 9.2352 Å, c = 9.2352 Å
α = 57.93°, β = 57.93°, γ = 57.93°
With the nearest neighbours (Å) after each atom.
Positions (direct):
Na 0.0000 0.0000 0.0000  6 Te 3.24
Na 0.0000 0.5000 0.5000  6 Te 3.24-3.26
Na 0.5000 0.0000 0.5000  6 Te 3.24-3.26
Na 0.5000 0.5000 0.0000  6 Te 3.24-3.26
Ca 0.5000 0.5000 0.5000  6 Te 3.18
Th 0.0000 0.0000 0.5000  6 Te 3.17-3.19
Th 0.0000 0.5000 0.0000  6 Te 3.17-3.19
Th 0.5000 0.0000 0.0000  6 Te 3.17-3.19
Te 0.2451 0.7479 0.7479  2 Th 3.17, 1 Ca 3.18, 3 Na 3.24-3.26
Te 0.2482 0.2482 0.2482  3 Th 3.19, 3 Na 3.24
Te 0.2521 0.2521 0.7549  2 Th 3.17, 1 Ca 3.18, 3 Na 3.24-3.26
Te 0.2521 0.7549 0.2521  2 Th 3.17, 1 Ca 3.18, 3 Na 3.24-3.26
Te 0.7479 0.2451 0.7479  2 Th 3.17, 1 Ca 3.18, 3 Na 3.24-3.26
Te 0.7479 0.7479 0.2451  2 Th 3.17, 1 Ca 3.18, 3 Na 3.24-3.26
Te 0.7518 0.7518 0.7518  3 Th 3.19, 3 Na 3.24
Te 0.7549 0.2521 0.2521  2 Th 3.17, 1 Ca 3.18, 3 Na 3.24-3.26

Calculated values
ΔE_f (raw): -1.17 eV per atom



This record from Alexandria describes a geometry-optimized Pr3Cd2Ga4 structure. The functional is PBE.

a = 6.0612 Å, b = 6.0612 Å, c = 8.9718 Å
α = 107.65°, β = 107.65°, γ = 44.77°
With the nearest neighbours (Å) after each atom.
Positions (direct):
Pr 0.0000 0.0000 0.0000  8 Ga 3.18-3.54, 4 Cd 3.29
Pr 0.3299 0.3299 0.3327  6 Ga 3.12-3.44, 4 Cd 3.29-3.37
Pr 0.6701 0.6701 0.6673  6 Ga 3.12-3.44, 4 Cd 3.29-3.37
Cd 0.3952 0.3952 0.7267  3 Ga 2.72-2.76
Cd 0.6048 0.6048 0.2733  3 Ga 2.72-2.76
Ga 0.0710 0.0710 0.4151  1 Ga 2.54, 2 Cd 2.72
Ga 0.2996 0.2996 0.9741  2 Ga 2.67, 1 Cd 2.76
Ga 0.7004 0.7004 0.0259  2 Ga 2.67, 1 Cd 2.76
Ga 0.9290 0.9290 0.5849  1 Ga 2.54, 2 Cd 2.72

Calculated values
Formation energy: -0.5347 eV/atom



This record from Alexandria describes a geometry-optimized SrU2CuO8 structure. The functional is PBE.

a = 5.1129 Å, b = 5.1129 Å, c = 6.9671 Å
α = 90.00°, β = 90.00°, γ = 96.77°
With the nearest neighbours (Å) after each atom.
Positions (direct):
Sr 0.0000 0.0000 0.0000  6 O 2.45-2.56
U 0.5000 0.5000 0.2584  6 O 2.01-2.20
U 0.5000 0.5000 0.7416  6 O 2.01-2.20
Cu 0.0000 0.0000 0.5000  4 O 2.03
O 0.2061 0.2061 0.2889  1 U 2.01, 1 Cu 2.03
O 0.2061 0.2061 0.7111  1 U 2.01, 1 Cu 2.03
O 0.3333 0.6667 0.5000  2 U 2.11
O 0.3350 0.6650 0.0000  2 U 2.20
O 0.6650 0.3350 0.0000  2 U 2.20
O 0.6667 0.3333 0.5000  2 U 2.11
O 0.7939 0.7939 0.2889  1 U 2.01, 1 Cu 2.03
O 0.7939 0.7939 0.7111  1 U 2.01, 1 Cu 2.03

Calculated values
ΔE_f (raw): -2.63 eV per atom